<one>
An optimized crystal structure of TcTe3Ir, computed with PBE.

Output
size of the total moment: 3.38 μB/cell
symmetry: No. 221

abc: 5.2386 5.2386 5.2386
angles: 90.00 90.00 90.00
Last column: nearest neighbours and their distance in Å.
Atoms (fractional coordinates):
1 Tc 0.0000 0.0000 0.0000  12 Te 3.70
2 Te 0.0000 0.5000 0.5000  2 Ir 2.62
3 Te 0.5000 0.0000 0.5000  2 Ir 2.62
4 Te 0.5000 0.5000 0.0000  2 Ir 2.62
5 Ir 0.5000 0.5000 0.5000  6 Te 2.62

<two>
An optimized crystal structure of TcTe3Ir, computed with PBE.

Output
size of the total moment: 0.00 μB/cell
symmetry: No. 221

abc: 5.0845 5.0845 5.0845
angles: 90.00 90.00 90.00
Last column: nearest neighbours and their distance in Å.
Atoms (fractional coordinates):
1 Tc 0.0000 0.0000 0.0000  6 Te 2.54
2 Te 0.0000 0.0000 0.5000  2 Tc 2.54
3 Te 0.0000 0.5000 0.0000  2 Tc 2.54
4 Te 0.5000 0.0000 0.0000  2 Tc 2.54
5 Ir 0.5000 0.5000 0.5000  12 Te 3.60

Name the most stable of them. <one>.

<one>
An optimized crystal structure of TiTcIr2, computed with PBE.

Output
size of the total moment: 0.00 μB/cell
symmetry: No. 123

abc: 3.9088 3.9088 3.8435
angles: 90.00 90.00 90.00
Last column: nearest neighbours and their distance in Å.
Atoms (fractional coordinates):
1 Ti 0.0000 0.0000 0.0000  8 Ir 2.74, 4 Tc 2.76
2 Tc 0.5000 0.5000 0.0000  8 Ir 2.74, 4 Ti 2.76
3 Ir 0.0000 0.5000 0.5000  4 Tc 2.74, 4 Ti 2.74, 4 Ir 2.76
4 Ir 0.5000 0.0000 0.5000  4 Tc 2.74, 4 Ti 2.74, 4 Ir 2.76

<two>
An optimized crystal structure of TiTcIr2, computed with PBE.

Output
size of the total moment: 13.24 μB/cell
symmetry: No. 225

abc: 6.2568 6.2568 6.2568
angles: 90.00 90.00 90.00
Last column: nearest neighbours and their distance in Å.
Atoms (fractional coordinates):
1 Ti 0.0000 0.0000 0.0000  8 Ir 2.71
2 Ti 0.0000 0.5000 0.5000  8 Ir 2.71
3 Ti 0.5000 0.0000 0.5000  8 Ir 2.71
4 Ti 0.5000 0.5000 0.0000  8 Ir 2.71
5 Tc 0.0000 0.0000 0.5000  8 Ir 2.71
6 Tc 0.0000 0.5000 0.0000  8 Ir 2.71
7 Tc 0.5000 0.0000 0.0000  8 Ir 2.71
8 Tc 0.5000 0.5000 0.5000  8 Ir 2.71
9 Ir 0.2500 0.2500 0.2500  4 Tc 2.71, 4 Ti 2.71
10 Ir 0.2500 0.2500 0.7500  4 Tc 2.71, 4 Ti 2.71
11 Ir 0.2500 0.7500 0.2500  4 Tc 2.71, 4 Ti 2.71
12 Ir 0.2500 0.7500 0.7500  4 Tc 2.71, 4 Ti 2.71
13 Ir 0.7500 0.2500 0.2500  4 Tc 2.71, 4 Ti 2.71
14 Ir 0.7500 0.2500 0.7500  4 Tc 2.71, 4 Ti 2.71
15 Ir 0.7500 0.7500 0.2500  4 Tc 2.71, 4 Ti 2.71
16 Ir 0.7500 0.7500 0.7500  4 Tc 2.71, 4 Ti 2.71

Name the most stable of them. <one>.

<one>
An optimized crystal structure of Ti2TcIr, computed with PBE.

Output
size of the total moment: 0.00 μB/cell
symmetry: No. 123

abc: 4.3780 4.3780 3.1181
angles: 90.00 90.00 90.00
Last column: nearest neighbours and their distance in Å.
Atoms (fractional coordinates):
1 Ti 0.0000 0.5000 0.0000  4 Ir 2.69, 4 Tc 2.69
2 Ti 0.5000 0.0000 0.0000  4 Ir 2.69, 4 Tc 2.69
3 Tc 0.0000 0.0000 0.5000  8 Ti 2.69
4 Ir 0.5000 0.5000 0.5000  8 Ti 2.69

<two>
An optimized crystal structure of Ti2TcIr, computed with PBE.

Output
size of the total moment: 1.29 μB/cell
symmetry: No. 122

abc: 4.0175 4.0175 16.8798
angles: 90.00 90.00 90.00
Last column: nearest neighbours and their distance in Å.
Atoms (fractional coordinates):
1 Ti 0.2468 0.2500 0.1250  2 Tc 2.54, 2 Ir 2.55, 2 Ti 2.82
2 Ti 0.2500 0.7468 0.3750  2 Tc 2.54, 2 Ir 2.55, 2 Ti 2.82
3 Ti 0.2500 0.7532 0.8750  2 Tc 2.54, 2 Ir 2.55, 2 Ti 2.82
4 Ti 0.2532 0.2500 0.6250  2 Tc 2.54, 2 Ir 2.55, 2 Ti 2.82
5 Ti 0.7468 0.7500 0.6250  2 Tc 2.54, 2 Ir 2.55, 2 Ti 2.82
6 Ti 0.7500 0.2468 0.8750  2 Tc 2.54, 2 Ir 2.55, 2 Ti 2.82
7 Ti 0.7500 0.2532 0.3750  2 Tc 2.54, 2 Ir 2.55, 2 Ti 2.82
8 Ti 0.7532 0.7500 0.1250  2 Tc 2.54, 2 Ir 2.55, 2 Ti 2.82
9 Tc 0.0000 0.0000 0.0000  4 Ti 2.54, 4 Ir 2.84
10 Tc 0.0000 0.5000 0.2500  4 Ti 2.54, 4 Ir 2.84
11 Tc 0.5000 0.0000 0.7500  4 Ti 2.54, 4 Ir 2.84
12 Tc 0.5000 0.5000 0.5000  4 Ti 2.54, 4 Ir 2.84
13 Ir 0.0000 0.0000 0.5000  4 Ti 2.55, 4 Tc 2.84
14 Ir 0.0000 0.5000 0.7500  4 Ti 2.55, 4 Tc 2.84
15 Ir 0.5000 0.0000 0.2500  4 Ti 2.55, 4 Tc 2.84
16 Ir 0.5000 0.5000 0.0000  4 Ti 2.55, 4 Tc 2.84

Name the most stable of them. <one>.

<one>
An optimized crystal structure of Ti2TcIr, computed with PBE.

Output
size of the total moment: 0.00 μB/cell
symmetry: No. 225

abc: 6.1987 6.1987 6.1987
angles: 90.00 90.00 90.00
Last column: nearest neighbours and their distance in Å.
Atoms (fractional coordinates):
1 Ti 0.2500 0.2500 0.2500  4 Tc 2.68, 4 Ir 2.68
2 Ti 0.2500 0.2500 0.7500  4 Tc 2.68, 4 Ir 2.68
3 Ti 0.2500 0.7500 0.2500  4 Tc 2.68, 4 Ir 2.68
4 Ti 0.2500 0.7500 0.7500  4 Tc 2.68, 4 Ir 2.68
5 Ti 0.7500 0.2500 0.2500  4 Tc 2.68, 4 Ir 2.68
6 Ti 0.7500 0.2500 0.7500  4 Tc 2.68, 4 Ir 2.68
7 Ti 0.7500 0.7500 0.2500  4 Tc 2.68, 4 Ir 2.68
8 Ti 0.7500 0.7500 0.7500  4 Tc 2.68, 4 Ir 2.68
9 Tc 0.0000 0.0000 0.0000  8 Ti 2.68
10 Tc 0.0000 0.5000 0.5000  8 Ti 2.68
11 Tc 0.5000 0.0000 0.5000  8 Ti 2.68
12 Tc 0.5000 0.5000 0.0000  8 Ti 2.68
13 Ir 0.0000 0.0000 0.5000  8 Ti 2.68
14 Ir 0.0000 0.5000 0.0000  8 Ti 2.68
15 Ir 0.5000 0.0000 0.0000  8 Ti 2.68
16 Ir 0.5000 0.5000 0.5000  8 Ti 2.68

<two>
An optimized crystal structure of Ti2TcIr, computed with PBE.

Output
size of the total moment: 0.00 μB/cell
symmetry: No. 123

abc: 3.1064 3.1064 6.2003
angles: 90.00 90.00 90.00
Last column: nearest neighbours and their distance in Å.
Atoms (fractional coordinates):
1 Ti 0.0000 0.0000 0.2417  4 Tc 2.66, 4 Ir 2.72
2 Ti 0.0000 0.0000 0.7583  4 Tc 2.66, 4 Ir 2.72
3 Tc 0.5000 0.5000 0.0000  8 Ti 2.66
4 Ir 0.5000 0.5000 0.5000  8 Ti 2.72

Name the most stable of them. <one>.

<one>
An optimized crystal structure of TiTc3Ir, computed with PBE.

Output
size of the total moment: 0.00 μB/cell
symmetry: No. 221

abc: 4.4151 4.4151 4.4151
angles: 90.00 90.00 90.00
Last column: nearest neighbours and their distance in Å.
Atoms (fractional coordinates):
1 Ti 0.0000 0.0000 0.0000  6 Tc 2.21
2 Tc 0.0000 0.0000 0.5000  2 Ti 2.21
3 Tc 0.0000 0.5000 0.0000  2 Ti 2.21
4 Tc 0.5000 0.0000 0.0000  2 Ti 2.21
5 Ir 0.5000 0.5000 0.5000  12 Tc 3.12

<two>
An optimized crystal structure of TiTc3Ir, computed with PBE.

Output
size of the total moment: 0.01 μB/cell
symmetry: No. 221

abc: 4.6621 4.6621 4.6621
angles: 90.00 90.00 90.00
Last column: nearest neighbours and their distance in Å.
Atoms (fractional coordinates):
1 Ti 0.0000 0.0000 0.0000  12 Tc 3.30
2 Tc 0.0000 0.5000 0.5000  2 Ir 2.33
3 Tc 0.5000 0.0000 0.5000  2 Ir 2.33
4 Tc 0.5000 0.5000 0.0000  2 Ir 2.33
5 Ir 0.5000 0.5000 0.5000  6 Tc 2.33

Name the most stable of them. <one>.

<one>
An optimized crystal structure of Ti4TcIr2, computed with PBE.

Output
size of the total moment: 0.00 μB/cell
symmetry: No. 139

abc: 6.1736 6.1736 6.0834
angles: 90.00 90.00 90.00
Last column: nearest neighbours and their distance in Å.
Atoms (fractional coordinates):
1 Ti 0.2500 0.2500 0.2500  2 Tc 2.66, 4 Ir 2.66
2 Ti 0.2500 0.2500 0.7500  2 Tc 2.66, 4 Ir 2.66
3 Ti 0.2500 0.7500 0.2500  2 Tc 2.66, 4 Ir 2.66
4 Ti 0.2500 0.7500 0.7500  2 Tc 2.66, 4 Ir 2.66
5 Ti 0.7500 0.2500 0.2500  2 Tc 2.66, 4 Ir 2.66
6 Ti 0.7500 0.2500 0.7500  2 Tc 2.66, 4 Ir 2.66
7 Ti 0.7500 0.7500 0.2500  2 Tc 2.66, 4 Ir 2.66
8 Ti 0.7500 0.7500 0.7500  2 Tc 2.66, 4 Ir 2.66
9 Tc 0.0000 0.0000 0.0000  8 Ti 2.66
10 Tc 0.5000 0.5000 0.5000  8 Ti 2.66
11 Ir 0.0000 0.5000 0.0000  8 Ti 2.66
12 Ir 0.0000 0.5000 0.5000  8 Ti 2.66
13 Ir 0.5000 0.0000 0.0000  8 Ti 2.66
14 Ir 0.5000 0.0000 0.5000  8 Ti 2.66

<two>
An optimized crystal structure of Ti4TcIr2, computed with PBE.

Output
size of the total moment: 0.00 μB/cell
symmetry: No. 139

abc: 4.5350 4.5350 12.7862
angles: 90.00 90.00 90.00
Last column: nearest neighbours and their distance in Å.
Atoms (fractional coordinates):
1 Ti 0.0000 0.0000 0.1949  1 Ir 2.39, 1 Tc 2.49
2 Ti 0.0000 0.0000 0.8051  1 Ir 2.39, 1 Tc 2.49
3 Ti 0.0000 0.5000 0.0000  2 Tc 2.27
4 Ti 0.0000 0.5000 0.5000  2 Tc 2.27
5 Ti 0.5000 0.0000 0.0000  2 Tc 2.27
6 Ti 0.5000 0.0000 0.5000  2 Tc 2.27
7 Ti 0.5000 0.5000 0.3051  1 Ir 2.39, 1 Tc 2.49
8 Ti 0.5000 0.5000 0.6949  1 Ir 2.39, 1 Tc 2.49
9 Tc 0.0000 0.0000 0.0000  6 Ti 2.27-2.49
10 Tc 0.5000 0.5000 0.5000  6 Ti 2.27-2.49
11 Ir 0.0000 0.0000 0.3817  1 Ti 2.39
12 Ir 0.0000 0.0000 0.6183  1 Ti 2.39
13 Ir 0.5000 0.5000 0.1183  1 Ti 2.39
14 Ir 0.5000 0.5000 0.8817  1 Ti 2.39

Name the most stable of them. <one>.